DFT (GGA-PBE) results for crystalline RbCd3I at its relaxed geometry.

Properties
Its energy above the lowest structure with this stoichiometry is 0 kJ/mol of formula units. The value obtained for the uncorrected formation energy is 0.1513 eV/atom. The space group is No. 221. As for the volume: 64.810 Å³ per atom.

a = 6.869 Å, b = 6.869 Å, c = 6.869 Å
α = 90.00°, β = 90.00°, γ = 90.00°
Fractional positions:
I: 0.000 0.000 0.000
Rb: 0.500 0.500 0.500
Cd: 0.000 0.500 0.000
Cd: 0.000 0.000 0.500
Cd: 0.500 0.000 0.000